A relaxed structure of Sm2Ga2Co15, computed with PBEsol.

POSCAR file:
```
Sm2Ga2Co15
1.0
4.136 2.388 4.007
-4.136 2.388 4.007
0.000 -4.776 4.007
Sm Ga Co
2 2 15
Direct
0.149 0.149 0.149
0.851 0.851 0.851
0.394 0.394 0.394
0.606 0.606 0.606
0.000 0.500 0.500
0.150 0.150 0.650
0.150 0.650 0.150
0.213 0.500 0.787
0.213 0.787 0.500
0.350 0.850 0.850
0.500 0.000 0.500
0.500 0.213 0.787
0.500 0.500 0.000
0.500 0.787 0.213
0.650 0.150 0.150
0.787 0.213 0.500
0.787 0.500 0.213
0.850 0.350 0.850
0.850 0.850 0.350
```

Properties
DOS at the Fermi energy	1.18	states/eV per atom
total moment	19.76	μB/f.u.
energy relative to the elements	-101	meV/atom
space-group type	R-3m, No. 166

---

A relaxed structure of Sm3GaCo3, computed with PBEsol.

POSCAR file:
```
Sm3GaCo3
1.0
2.030 -4.985 0.000
2.030 4.985 0.000
0.000 0.000 12.851
Sm Ga Co
6 2 6
Direct
0.001 0.999 0.750
0.291 0.709 0.604
0.291 0.709 0.896
0.709 0.291 0.104
0.709 0.291 0.396
0.999 0.001 0.250
0.000 0.000 0.000
0.000 0.000 0.500
0.301 0.699 0.250
0.420 0.580 0.093
0.420 0.580 0.407
0.580 0.420 0.593
0.580 0.420 0.907
0.699 0.301 0.750
```

Properties
DOS at the Fermi energy	1.19	states/eV per atom
total moment	0.06	μB/f.u.
energy relative to the elements	-278	meV/atom
space-group type	Cmcm, No. 63

---

A relaxed structure of Sm2Ga9Co3, computed with PBEsol.

POSCAR file:
```
Sm2Ga9Co3
1.0
6.299 -3.664 0.000
6.299 3.664 0.000
0.000 0.000 9.358
Sm Ga Co
4 18 6
Direct
0.003 0.669 0.750
0.331 0.997 0.750
0.669 0.003 0.250
0.997 0.331 0.250
0.002 0.666 0.071
0.002 0.666 0.429
0.124 0.876 0.250
0.334 0.998 0.071
0.334 0.998 0.429
0.335 0.665 0.555
0.335 0.665 0.945
0.337 0.451 0.250
0.451 0.337 0.750
0.549 0.663 0.250
0.663 0.549 0.750
0.665 0.335 0.055
0.665 0.335 0.445
0.666 0.002 0.571
0.666 0.002 0.929
0.876 0.124 0.750
0.998 0.334 0.571
0.998 0.334 0.929
0.000 0.000 0.000
0.000 0.000 0.500
0.329 0.329 0.000
0.329 0.329 0.500
0.671 0.671 0.000
0.671 0.671 0.500
```

Properties
DOS at the Fermi energy	0.47	states/eV per atom
total moment	0.00	μB/f.u.
energy relative to the elements	-545	meV/atom
space-group type	Cmcm, No. 63

---

A relaxed structure of Sm2Ga3Co, computed with PBEsol.

POSCAR file:
```
Sm2Ga3Co
1.0
3.675 0.000 0.000
0.000 4.282 0.000
0.000 0.000 7.491
Sm Ga Co
2 3 1
Direct
0.000 0.000 0.000
0.000 0.500 0.460
0.500 0.000 0.628
0.500 0.500 0.150
0.500 0.500 0.809
0.500 0.000 0.301
```

Properties
DOS at the Fermi energy	0.78	states/eV per atom
total moment	0.01	μB/f.u.
energy relative to the elements	-556	meV/atom
space-group type	Pmm2, No. 25

---

A relaxed structure of Ga3CoSn, computed with PBEsol.

POSCAR file:
```
Ga3CoSn
1.0
4.544 0.000 0.000
0.000 4.544 0.000
0.000 0.000 4.544
Ga Co Sn
3 1 1
Direct
0.000 0.000 0.500
0.000 0.500 0.000
0.500 0.000 0.000
0.000 0.000 0.000
0.500 0.500 0.500
```

Properties
DOS at the Fermi energy	0.61	states/eV per atom
total moment	0.00	μB/f.u.
energy relative to the elements	6	meV/atom
space-group type	Pm-3m, No. 221

---

A relaxed structure of Ga2Co2Sn, computed with PBEsol.

POSCAR file:
```
Ga2Co2Sn
1.0
-1.979 1.979 4.973
1.979 -1.979 4.973
1.979 1.979 -4.973
Ga Co Sn
2 2 1
Direct
0.127 0.127 0.000
0.873 0.873 0.000
0.250 0.750 0.500
0.750 0.250 0.500
0.500 0.500 0.000
```

Properties
DOS at the Fermi energy	0.72	states/eV per atom
total moment	0.00	μB/f.u.
energy relative to the elements	146	meV/atom
space-group type	I4/mmm, No. 139

---

A relaxed structure of SrGa2Co, computed with PBEsol.

POSCAR file:
```
SrGa2Co
1.0
0.000 3.296 3.296
3.296 0.000 3.296
3.296 3.296 0.000
Sr Ga Co
1 2 1
Direct
0.000 0.000 0.000
0.250 0.250 0.250
0.750 0.750 0.750
0.500 0.500 0.500
```

Properties
DOS at the Fermi energy	0.93	states/eV per atom
total moment	0.26	μB/f.u.
energy relative to the elements	105	meV/atom
space-group type	Fm-3m, No. 225

---

A relaxed structure of Ta2GaCo2, computed with PBEsol.

POSCAR file:
```
Ta2GaCo2
1.0
6.755 0.000 0.000
0.000 6.755 0.000
0.000 0.000 3.060
Ta Ga Co
4 2 4
Direct
0.172 0.328 0.000
0.328 0.828 0.000
0.672 0.172 0.000
0.828 0.672 0.000
0.000 0.000 0.500
0.500 0.500 0.500
0.128 0.628 0.500
0.372 0.128 0.500
0.628 0.872 0.500
0.872 0.372 0.500
```

Properties
DOS at the Fermi energy	0.59	states/eV per atom
total moment	0.00	μB/f.u.
energy relative to the elements	-276	meV/atom
space-group type	P4/mbm, No. 127

---

A relaxed structure of Tb4Ga16Co3, computed with PBEsol.

POSCAR file:
```
Tb4Ga16Co3
1.0
5.933 0.000 0.000
0.000 5.933 0.000
0.000 0.000 10.938
Tb Ga Co
4 16 3
Direct
0.000 0.500 0.195
0.000 0.500 0.805
0.500 0.000 0.195
0.500 0.000 0.805
0.000 0.000 0.195
0.000 0.000 0.805
0.220 0.220 0.000
0.220 0.780 0.000
0.250 0.250 0.385
0.250 0.250 0.615
0.250 0.750 0.385
0.250 0.750 0.615
0.500 0.500 0.218
0.500 0.500 0.782
0.750 0.250 0.385
0.750 0.250 0.615
0.750 0.750 0.385
0.750 0.750 0.615
0.780 0.220 0.000
0.780 0.780 0.000
0.000 0.500 0.500
0.500 0.000 0.500
0.500 0.500 0.000
```

Properties
DOS at the Fermi energy	0.19	states/eV per atom
total moment	0.00	μB/f.u.
energy relative to the elements	-577	meV/atom
space-group type	P4/mmm, No. 123

---

A relaxed structure of TbGa2Co3, computed with PBEsol.

POSCAR file:
```
TbGa2Co3
1.0
5.133 0.000 0.000
-2.566 4.445 0.000
0.000 0.000 3.726
Tb Ga Co
1 2 3
Direct
0.000 0.000 0.000
0.333 0.667 0.000
0.667 0.333 0.000
0.000 0.500 0.500
0.500 0.000 0.500
0.500 0.500 0.500
```

Properties
DOS at the Fermi energy	0.98	states/eV per atom
total moment	0.72	μB/f.u.
energy relative to the elements	-399	meV/atom
space-group type	P6/mmm, No. 191

---

A relaxed structure of TbGa5Co, computed with PBEsol.

POSCAR file:
```
TbGa5Co
1.0
4.152 0.000 0.000
0.000 4.152 0.000
0.000 0.000 6.732
Tb Ga Co
1 5 1
Direct
0.000 0.000 0.000
0.000 0.500 0.311
0.000 0.500 0.689
0.500 0.000 0.311
0.500 0.000 0.689
0.500 0.500 0.000
0.000 0.000 0.500
```

Properties
DOS at the Fermi energy	0.28	states/eV per atom
total moment	0.00	μB/f.u.
energy relative to the elements	-524	meV/atom
space-group type	P4/mmm, No. 123

---

A relaxed structure of TbGaCo, computed with PBEsol.

POSCAR file:
```
TbGaCo
1.0
6.618 0.000 0.000
0.000 4.026 0.000
0.000 0.000 7.584
Tb Ga Co
4 4 4
Direct
0.029 0.250 0.184
0.471 0.750 0.684
0.529 0.250 0.316
0.971 0.750 0.816
0.149 0.250 0.563
0.351 0.750 0.063
0.649 0.250 0.937
0.851 0.750 0.437
0.228 0.750 0.379
0.272 0.250 0.879
0.728 0.750 0.121
0.772 0.250 0.621
```

Properties
DOS at the Fermi energy	0.86	states/eV per atom
total moment	0.00	μB/f.u.
energy relative to the elements	-505	meV/atom
space-group type	Pnma, No. 62